(1)
! NiRuPb2 | Alexandria | GGA-PBE | relaxed; values from VASP
! Density of states at the Fermi level (states/eV per atom): 0.96
! Crystal system: tetragonal
! Calculated formation energy (eV/atom): 0.702
&SYSTEM
  ibrav = 0, nat = 16, ntyp = 3
/
ATOMIC_SPECIES
Ni 58.69 Ni.upf
Ru 101.07 Ru.upf
Pb 207.20 Pb.upf
ATOMIC_POSITIONS angstrom
Ni 0.000 0.000 0.000
Ni 0.000 3.630 1.559
Ni 3.630 0.000 4.676
Ni 3.630 3.630 3.117
Ru 0.000 0.000 3.117
Ru 0.000 3.630 4.676
Ru 3.630 0.000 1.559
Ru 3.630 3.630 0.000
Pb 1.695 1.815 0.779
Pb 1.815 5.325 2.338
Pb 1.815 5.566 5.456
Pb 1.935 1.815 3.897
Pb 5.325 5.446 3.897
Pb 5.446 1.695 5.456
Pb 5.446 1.935 2.338
Pb 5.566 5.446 0.779
CELL_PARAMETERS angstrom
7.261 0.000 0.000
0.000 7.261 0.000
0.000 0.000 6.235


(2)
! NiRuPb2 | Alexandria | GGA-PBE | relaxed; values from VASP
! Density of states at the Fermi level (states/eV per atom): 0.83
! Crystal system: monoclinic
! Calculated formation energy (eV/atom): 0.515
&SYSTEM
  ibrav = 0, nat = 8, ntyp = 3
/
ATOMIC_SPECIES
Ni 58.69 Ni.upf
Ru 101.07 Ru.upf
Pb 207.20 Pb.upf
ATOMIC_POSITIONS angstrom
Ni 0.000 0.000 0.000
Ni 4.154 1.706 0.000
Ru -0.673 1.706 2.757
Ru 3.482 0.000 2.757
Pb 1.724 1.706 1.353
Pb 1.085 0.000 4.162
Pb 5.878 0.000 1.353
Pb 5.240 1.706 4.162
CELL_PARAMETERS angstrom
8.309 0.000 0.000
0.000 3.413 0.000
-1.346 0.000 5.514


(3)
! NiRuPb2 | Alexandria | GGA-PBE | relaxed; values from VASP
! Density of states at the Fermi level (states/eV per atom): 0.92
! Crystal system: trigonal
! Calculated formation energy (eV/atom): 0.496
&SYSTEM
  ibrav = 0, nat = 12, ntyp = 3
/
ATOMIC_SPECIES
Ni 58.69 Ni.upf
Ru 101.07 Ru.upf
Pb 207.20 Pb.upf
ATOMIC_POSITIONS angstrom
Ni 0.000 0.000 0.000
Ni 0.000 1.946 15.923
Ni 1.685 0.973 7.961
Ru 0.000 0.000 11.942
Ru 0.000 1.946 3.981
Ru 1.685 0.973 19.904
Pb 0.000 0.000 6.019
Pb 0.000 0.000 17.865
Pb 0.000 1.946 9.904
Pb 0.000 1.946 21.942
Pb 1.685 0.973 1.943
Pb 1.685 0.973 13.980
CELL_PARAMETERS angstrom
3.370 0.000 0.000
-1.685 2.918 0.000
0.000 0.000 23.884


(4)
! Ni2RuPb | Alexandria | GGA-PBE | relaxed; values from VASP
! Density of states at the Fermi level (states/eV per atom): 1.21
! Crystal system: monoclinic
! Calculated formation energy (eV/atom): 0.368
&SYSTEM
  ibrav = 0, nat = 8, ntyp = 3
/
ATOMIC_SPECIES
Ni 58.69 Ni.upf
Ru 101.07 Ru.upf
Pb 207.20 Pb.upf
ATOMIC_POSITIONS angstrom
Ni 0.000 0.000 0.000
Ni 1.787 1.576 0.993
Ni 4.260 1.576 0.000
Ni 6.046 0.000 0.993
Ru 1.251 0.000 3.600
Ru 5.511 1.576 3.600
Pb 3.648 0.000 2.178
Pb 7.907 1.576 2.178
CELL_PARAMETERS angstrom
8.520 0.000 0.000
0.000 3.151 0.000
-1.177 0.000 4.495